Material: ScTiInSn2
Method: DFT, PBE-GGA
State: optimized geometry

Cell lengths 5.4739, 5.3318, 5.4739 Å; angles 90.00, 90.00, 90.00 degrees
Last column: nearest neighbours and their distance in Å.
Element x y z (fractional)
Sc  0.0000  0.5000  0.0000  2 In 2.67
Ti  0.5000  0.5000  0.5000  8 Sn 3.82, 4 Sc 3.87
Sn  0.0000  0.0000  0.5000  2 In 2.74
Sn  0.5000  0.0000  0.0000  2 In 2.74
In  0.0000  0.0000  0.0000  2 Sc 2.67, 4 Sn 2.74

Properties
The value obtained for the total energy is -4.07 eV/atom. For the density of states at the Fermi level, the calculation gives 5.95 states/eV/f.u. As for the energy of formation: 0.920 eV per atom. The magnetic moment comes out at 2.591 μB per cell. The space-group type is P4/mmm.